# 1
SiMoPd, optimized geometry, DFT PBE-GGA; VASP energy = -7.20 eV per atom; SG = No. 216; M_tot = 0.268 μB/atom
1.0
-1.426 -3.853 -0.001
-3.170 -1.018 2.408
-3.661 -0.836 -1.667
Pd Si Mo
1 1 1
Direct
0.750 0.750 0.750
0.000 0.000 0.000
0.250 0.250 0.250

---

# 2
ThAu, optimized geometry, DFT PBE-GGA; energy of formation = -448.7 meV per atom; SG = No. 194; M_tot = 0.008 μB/atom
1.0
4.538 0.000 0.000
-2.269 3.930 0.000
0.000 0.000 6.432
Th Au
2 2
Direct
0.667 0.333 0.750
0.333 0.667 0.250
0.000 0.000 0.500
0.000 0.000 0.000

---

# 3
TaCdPd2, optimized geometry, DFT PBE-GGA; energy of formation = 5.1 meV per atom; SG = No. 216; M_tot = 0.003 μB/atom
1.0
2.140 1.099 3.885
-2.178 2.430 3.199
-1.235 -1.982 3.928
Pd Ta Cd
2 1 1
Direct
0.000 0.000 0.000
0.250 0.250 0.250
0.750 0.750 0.750
0.500 0.500 0.500

---

# 4
PrInPt, optimized geometry, DFT PBE-GGA; VASP energy = -5.47 eV per atom; SG = No. 189; M_tot = 0.000 μB/atom
1.0
-0.860 -1.209 7.628
-4.997 -3.187 -5.027
2.370 -3.309 -0.257
Pr Pt In
3 3 3
Direct
0.409 0.000 0.000
0.591 0.591 0.000
0.000 0.409 0.000
0.000 0.000 0.000
0.667 0.333 0.500
0.333 0.667 0.500
0.748 0.000 0.500
0.252 0.252 0.500
0.000 0.748 0.500

---

Repeat the first record exactly.
SiMoPd, optimized geometry, DFT PBE-GGA; VASP energy = -7.20 eV per atom; SG = No. 216; M_tot = 0.268 μB/atom
1.0
-1.426 -3.853 -0.001
-3.170 -1.018 2.408
-3.661 -0.836 -1.667
Pd Si Mo
1 1 1
Direct
0.750 0.750 0.750
0.000 0.000 0.000
0.250 0.250 0.250